# MgP3H, relaxed, DFT GGA-PBE
# * energy relative to the lowest polymorph listed for this composition: 940 meV per atom
data_MgP3H
_symmetry_space_group_name_H-M 'P m -3 m'
_symmetry_Int_Tables_number 221
_symmetry_space_group_name_Hall '-P 4 2 3'
_cell_length_a 4.7993
_cell_length_b 4.7993
_cell_length_c 4.7993
_cell_angle_alpha 90.00
_cell_angle_beta 90.00
_cell_angle_gamma 90.00
loop_
_atom_site_label
_atom_site_fract_x
_atom_site_fract_y
_atom_site_fract_z
Mg1 0.0000 0.0000 0.0000
P1 0.0000 0.0000 0.5000
H1 0.5000 0.5000 0.5000